# TaBrCl2 (GGA-PBE, optimized geometry)
# E_form (uncorrected) (eV/f.u.): -3.2
# V (Å³ per cell): 130
# Polymorph energy (0 for the lowest one) (kJ/mol of formula units): 79
# Theoretical density (g/cm³): 4.23
data_TaBrCl2
_chemical_formula_sum 'Ta1 Br1 Cl2'
_space_group_name_H-M_alt 'P 1 m 1'
_space_group_IT_number 6
_cell_length_a 6.564
_cell_length_b 3.323
_cell_length_c 6.781
_cell_angle_alpha 90.00
_cell_angle_beta 118.31
_cell_angle_gamma 90.00
loop_
_space_group_symop_operation_xyz
'x,y,z'
'x,-y,z'
loop_
_atom_site_label
_atom_site_fract_x
_atom_site_fract_y
_atom_site_fract_z
Ta1 0.000 0.000 0.000
Br1 0.280 0.500 0.289
Cl1 0.000 0.500 0.737
Cl2 0.649 0.000 0.996

---

# Na3CaF (GGA-PBE, optimized geometry)
# E_form (uncorrected) (eV/f.u.): -4.0
# V (Å³ per cell): 142
# Polymorph energy (0 for the lowest one) (kJ/mol of formula units): 0
# Theoretical density (g/cm³): 1.50
data_Na3CaF
_chemical_formula_sum 'Na3 Ca1 F1'
_space_group_name_H-M_alt 'P m -3 m'
_space_group_IT_number 221
_space_group_name_Hall '-P 4 2 3'
_cell_length_a 5.218
_cell_length_b 5.218
_cell_length_c 5.218
_cell_angle_alpha 90.00
_cell_angle_beta 90.00
_cell_angle_gamma 90.00
loop_
_atom_site_label
_atom_site_fract_x
_atom_site_fract_y
_atom_site_fract_z
Na1 0.000 0.000 0.500
Ca1 0.500 0.500 0.500
F1 0.000 0.000 0.000

---

# Er5ScCd3 (GGA-PBE, optimized geometry)
# V (Å³ per cell): 478
# Theoretical density (g/cm³): 8.46
data_Er5ScCd3
_chemical_formula_sum 'Er10 Sc2 Cd6'
_space_group_name_H-M_alt 'P 63/m c m'
_space_group_IT_number 193
_space_group_name_Hall '-P 6c 2'
_cell_length_a 9.0426
_cell_length_b 9.0426
_cell_length_c 6.7528
_cell_angle_alpha 90.00
_cell_angle_beta 90.00
_cell_angle_gamma 120.00
loop_
_atom_site_label
_atom_site_fract_x
_atom_site_fract_y
_atom_site_fract_z
Er1 0.0000 0.3248 0.2500
Er2 0.3333 0.6667 0.0000
Sc1 0.0000 0.0000 0.0000
Cd1 0.0000 0.3375 0.7500

---

# Rb2InB2O6 (GGA-PBE, optimized geometry)
# E_form (uncorrected) (eV/f.u.): -21.2
# V (Å³ per cell): 491
# Theoretical density (g/cm³): 4.09
data_Rb2InB2O6
_chemical_formula_sum 'Rb6 In3 B6 O18'
_space_group_name_H-M_alt 'R -3 m'
_space_group_IT_number 166
_space_group_name_Hall '-R 3 2"'
_cell_length_a 5.4200
_cell_length_b 5.4200
_cell_length_c 19.3012
_cell_angle_alpha 90.00
_cell_angle_beta 90.00
_cell_angle_gamma 120.00
loop_
_atom_site_label
_atom_site_fract_x
_atom_site_fract_y
_atom_site_fract_z
Rb1 0.0000 0.0000 0.2071
In1 0.0000 0.0000 0.0000
B1 0.0000 0.0000 0.3986
O1 0.0390 0.5195 0.2650

---

# Ba2Cd2Ag15 (GGA-PBE, optimized geometry)
# V (Å³ per cell): 1236
# Theoretical density (g/cm³): 8.53
data_Ba2Cd2Ag15
_chemical_formula_sum 'Ba6 Cd6 Ag45'
_space_group_name_H-M_alt 'R -3 m'
_space_group_IT_number 166
_space_group_name_Hall '-R 3 2"'
_cell_length_a 9.9262
_cell_length_b 9.9262
_cell_length_c 14.4857
_cell_angle_alpha 90.00
_cell_angle_beta 90.00
_cell_angle_gamma 120.00
loop_
_atom_site_label
_atom_site_fract_x
_atom_site_fract_y
_atom_site_fract_z
Ba1 0.0000 0.0000 0.1529
Cd1 0.0000 0.0000 0.3997
Ag1 0.0000 0.2973 0.5000
Ag2 0.0000 0.5000 0.0000
Ag3 0.0027 0.5013 0.3455

---

# YNpCdO6 (GGA-PBE, optimized geometry)
# E_form (uncorrected) (eV/f.u.): -22.2
# V (Å³ per cell): 266
# Theoretical density (g/cm³): 6.67
data_YNpCdO6
_chemical_formula_sum 'Y2 Np2 Cd2 O12'
_space_group_name_H-M_alt 'P -3 1 c'
_space_group_IT_number 163
_space_group_name_Hall '-P 3 2c'
_cell_length_a 5.5987
_cell_length_b 5.5987
_cell_length_c 9.8012
_cell_angle_alpha 90.00
_cell_angle_beta 90.00
_cell_angle_gamma 120.00
loop_
_atom_site_label
_atom_site_fract_x
_atom_site_fract_y
_atom_site_fract_z
Y1 0.0000 0.0000 0.0000
Np1 0.3333 0.6667 0.2500
Cd1 0.3333 0.6667 0.7500
O1 0.0414 0.3598 0.1324

---

# SrAg3Rh (GGA-PBE, optimized geometry)
# V (Å³ per cell): 155
# Polymorph energy (0 for the lowest one) (kJ/mol of formula units): 630
# Theoretical density (g/cm³): 5.50
data_SrAg3Rh
_chemical_formula_sum 'Sr1 Ag3 Rh1'
_space_group_name_H-M_alt 'P m -3 m'
_space_group_IT_number 221
_space_group_name_Hall '-P 4 2 3'
_cell_length_a 5.376
_cell_length_b 5.376
_cell_length_c 5.376
_cell_angle_alpha 90.00
_cell_angle_beta 90.00
_cell_angle_gamma 90.00
loop_
_atom_site_label
_atom_site_fract_x
_atom_site_fract_y
_atom_site_fract_z
Sr1 0.000 0.000 0.000
Ag1 0.000 0.000 0.500
Rh1 0.500 0.500 0.500

---

# InMoIr4 (GGA-PBE, optimized geometry)
# V (Å³ per cell): 397
# Theoretical density (g/cm³): 16.39
data_InMoIr4
_chemical_formula_sum 'In4 Mo4 Ir16'
_space_group_name_H-M_alt 'F -4 3 m'
_space_group_IT_number 216
_space_group_name_Hall 'F -4 2 3'
_cell_length_a 7.350
_cell_length_b 7.350
_cell_length_c 7.350
_cell_angle_alpha 90.00
_cell_angle_beta 90.00
_cell_angle_gamma 90.00
loop_
_atom_site_label
_atom_site_fract_x
_atom_site_fract_y
_atom_site_fract_z
In1 0.000 0.000 0.000
Mo1 0.250 0.250 0.250
Ir1 0.125 0.125 0.625

---

# KBaH (GGA-PBE, optimized geometry)
# V (Å³ per cell): 114
# Polymorph energy (0 for the lowest one) (kJ/mol of formula units): 43
# Theoretical density (g/cm³): 2.59
data_KBaH
_chemical_formula_sum 'K1 Ba1 H1'
_space_group_name_H-M_alt 'P 3 m 1'
_space_group_IT_number 156
_cell_length_a 4.2379
_cell_length_b 4.2379
_cell_length_c 7.3184
_cell_angle_alpha 90.00
_cell_angle_beta 90.00
_cell_angle_gamma 120.00
loop_
_space_group_symop_operation_xyz
'x,y,z'
'-y,x-y,z'
'-x+y,-x,z'
'-y,-x,z'
'-x+y,y,z'
'x,x-y,z'
loop_
_atom_site_label
_atom_site_fract_x
_atom_site_fract_y
_atom_site_fract_z
K1 0.0000 0.0000 0.0000
Ba1 0.3333 0.6667 0.4695
H1 0.6667 0.3333 0.2878

---

# U2SnSb (GGA-PBE, optimized geometry)
# E_form (uncorrected) (eV/f.u.): 0.3
# V (Å³ per cell): 288
# Polymorph energy (0 for the lowest one) (kJ/mol of formula units): 40
# Theoretical density (g/cm³): 12.39
data_U2SnSb
_chemical_formula_sum 'U6 Sn3 Sb3'
_space_group_name_H-M_alt 'R -3 m'
_space_group_IT_number 166
_space_group_name_Hall '-R 3 2"'
_cell_length_a 3.1604
_cell_length_b 3.1604
_cell_length_c 33.3081
_cell_angle_alpha 90.00
_cell_angle_beta 90.00
_cell_angle_gamma 120.00
loop_
_atom_site_label
_atom_site_fract_x
_atom_site_fract_y
_atom_site_fract_z
U1 0.0000 0.0000 0.2502
Sn1 0.0000 0.0000 0.5000
Sb1 0.0000 0.0000 0.0000

---

# CaTlZn2P (GGA-PBE, optimized geometry)
# V (Å³ per cell): 184
# Theoretical density (g/cm³): 3.67
data_CaTlZn2P
_chemical_formula_sum 'Ca1 Tl1 Zn2 P1'
_space_group_name_H-M_alt 'P 4/m m m'
_space_group_IT_number 123
_space_group_name_Hall '-P 4 2'
_cell_length_a 5.516
_cell_length_b 5.516
_cell_length_c 6.048
_cell_angle_alpha 90.00
_cell_angle_beta 90.00
_cell_angle_gamma 90.00
loop_
_atom_site_label
_atom_site_fract_x
_atom_site_fract_y
_atom_site_fract_z
Ca1 0.000 0.000 0.000
Tl1 0.000 0.000 0.500
Zn1 0.000 0.500 0.000
P1 0.500 0.500 0.500

---

# Ac3Nd8Y2 (GGA-PBE, optimized geometry)
# V (Å³ per cell): 1004
# Theoretical density (g/cm³): 6.66
data_Ac3Nd8Y2
_chemical_formula_sum 'Ac6 Nd16 Y4'
_space_group_name_H-M_alt 'C 1 2/m 1'
_space_group_IT_number 12
_cell_length_a 21.013
_cell_length_b 8.133
_cell_length_c 5.873
_cell_angle_alpha 90.00
_cell_angle_beta 90.02
_cell_angle_gamma 90.00
loop_
_space_group_symop_operation_xyz
'x,y,z'
'-x,-y,-z'
'-x,y,-z'
'x,-y,z'
'x+1/2,y+1/2,z'
'-x+1/2,-y+1/2,-z'
'-x+1/2,y+1/2,-z'
'x+1/2,-y+1/2,z'
loop_
_atom_site_label
_atom_site_fract_x
_atom_site_fract_y
_atom_site_fract_z
Ac1 0.000 0.000 0.000
Ac2 0.000 0.286 0.500
Nd1 0.114 0.298 0.000
Nd2 0.136 0.000 0.499
Nd3 0.179 0.500 0.501
Y1 0.239 0.000 0.999

---

Going through the records in order, we get DFT total energy values of -20.38 -11.82 -67.06 -206.94 -151.63 -144.53 -9.76 -188.99 -6.65 -91.30 -7.17 -120.20 eV per cell.